[1]
MgTl2In2Sn: optimized geometry, PBE.

Summary:
E_form = -1.2 kJ/mol of atoms
space-group type = Pmc2_1
crystal system = orthorhombic

Cell lengths 4.4303, 10.8602, 6.8571 Å; angles 90.00, 90.00, 90.00 degrees
Closest atoms and distances in Å follow each position.
Fractional coordinates of all 12 atoms:
Mg1 0.0000 0.0013 0.0000  4 Sn 3.20-3.22, 5 In 3.23-3.40, 2 Mg 3.43, 1 Tl 3.43
Mg2 0.0000 0.9987 0.5000  4 Sn 3.20-3.22, 5 In 3.23-3.40, 2 Mg 3.43, 1 Tl 3.43
Tl1 0.0000 0.3171 0.9980  4 In 3.34-3.43, 2 Sn 3.40, 4 Tl 3.42-3.44, 1 Mg 3.43
Tl2 0.0000 0.6829 0.4980  4 In 3.34-3.43, 2 Sn 3.40, 4 Tl 3.42-3.44, 1 Mg 3.43
Tl3 0.5000 0.4976 0.2497  6 Tl 3.42-3.44, 5 In 3.45-3.82
Tl4 0.5000 0.5024 0.7497  6 Tl 3.42-3.44, 5 In 3.45-3.82
In1 0.0000 0.3115 0.4973  2 In 3.30, 2 Sn 3.32, 1 Mg 3.40, 6 Tl 3.42-3.49
In2 0.0000 0.6885 0.9973  2 In 3.30, 2 Sn 3.32, 1 Mg 3.40, 6 Tl 3.42-3.49
In3 0.5000 0.1505 0.7457  3 Sn 3.20-3.49, 4 Mg 3.23-3.25, 2 In 3.30, 2 Tl 3.34
In4 0.5000 0.8495 0.2457  3 Sn 3.20-3.49, 4 Mg 3.23-3.25, 2 In 3.30, 2 Tl 3.34
Sn1 0.5000 0.1437 0.2548  4 Mg 3.20-3.22, 5 In 3.20-3.49, 2 Tl 3.40
Sn2 0.5000 0.8563 0.7548  4 Mg 3.20-3.22, 5 In 3.20-3.49, 2 Tl 3.40


[2]
AlCr3: optimized geometry, PBE.

Summary:
E_form = 11.5 kJ/mol of atoms
space-group type = Pmmn
crystal system = orthorhombic

Cell lengths 4.2182, 5.0089, 4.7632 Å; angles 90.00, 90.00, 90.00 degrees
Closest atoms and distances in Å follow each position.
Fractional coordinates of all 8 atoms:
Al1 0.2500 0.2500 0.1566  12 Cr 2.50-2.69
Al2 0.7500 0.7500 0.8434  12 Cr 2.50-2.69
Cr1 0.2500 0.0242 0.6471  1 Cr 2.26
Cr2 0.2500 0.4758 0.6471  1 Cr 2.26
Cr3 0.2500 0.7500 0.1488  4 Al 2.50-2.56, 8 Cr 2.58-2.76
Cr4 0.7500 0.2500 0.8512  4 Al 2.50-2.56, 8 Cr 2.58-2.76
Cr5 0.7500 0.5242 0.3529  1 Cr 2.26
Cr6 0.7500 0.9758 0.3529  1 Cr 2.26


[3]
B5C: optimized geometry, PBE.

Summary:
E_form = 40.2 kJ/mol of atoms
polymorph energy (0 for the lowest one) = 5.06 kcal/mol of atoms
space-group type = Cc
crystal system = monoclinic

Cell lengths 4.8145, 4.8145, 4.5434 Å; angles 102.52, 102.52, 111.50 degrees
Closest atoms and distances in Å follow each position.
Fractional coordinates of all 12 atoms:
B1 0.0067 0.9933 0.5000  2 C 1.55-1.57
B2 0.2645 0.7602 0.8852  1 C 1.61, 1 B 1.72
B3 0.3511 0.5786 0.4901  1 C 1.54
B4 0.5234 0.8210 0.2778  5 B 1.70-1.90
B5 0.5786 0.3511 0.9901  1 C 1.54
B6 0.5977 0.7026 0.8923  6 B 1.70-1.87
B7 0.7026 0.5977 0.3923  6 B 1.70-1.87
B8 0.7602 0.2645 0.3852  1 C 1.61, 1 B 1.72
B9 0.8210 0.5234 0.7778  5 B 1.70-1.90
B10 0.9933 0.0067 0.0000  2 C 1.55-1.57
C1 0.0731 0.2481 0.3280  4 B 1.54-1.61
C2 0.2481 0.0731 0.8280  4 B 1.54-1.61


[4]
Tb2Nd3Ho5: optimized geometry, PBE.

Summary:
E_form = 18.4 kJ/mol of atoms
polymorph energy (0 for the lowest one) = 0.00 kcal/mol of atoms
space-group type = C2/c
crystal system = monoclinic

Cell lengths 9.6386, 9.6386, 9.4017 Å; angles 108.35, 108.35, 112.64 degrees
Closest atoms and distances in Å follow each position.
Fractional coordinates of all 20 atoms:
Tb1 0.0332 0.2692 0.0466  2 Nd 3.15-3.30, 4 Ho 3.29-3.46
Tb2 0.2692 0.0332 0.5466  2 Nd 3.15-3.30, 4 Ho 3.29-3.46
Tb3 0.7308 0.9668 0.4534  2 Nd 3.15-3.30, 4 Ho 3.29-3.46
Tb4 0.9668 0.7308 0.9534  2 Nd 3.15-3.30, 4 Ho 3.29-3.46
Nd1 0.2307 0.4790 0.4531  1 Tb 3.15, 5 Ho 3.31-3.48
Nd2 0.2660 0.7340 0.2500  4 Tb 3.30-3.59, 3 Ho 3.34-3.63, 2 Nd 3.54
Nd3 0.4790 0.2307 0.9531  1 Tb 3.15, 5 Ho 3.31-3.48
Nd4 0.5210 0.7693 0.0469  1 Tb 3.15, 5 Ho 3.31-3.48
Nd5 0.7340 0.2660 0.7500  4 Tb 3.30-3.59, 3 Ho 3.34-3.63, 2 Nd 3.54
Nd6 0.7693 0.5210 0.5469  1 Tb 3.15, 5 Ho 3.31-3.48
Ho1 0.0291 0.9709 0.7500  3 Ho 3.19-3.52, 4 Tb 3.29-3.44, 2 Nd 3.48
Ho2 0.1275 0.3538 0.7315  2 Tb 3.46-3.59, 3 Nd 3.46-3.63, 3 Ho 3.48-3.70
Ho3 0.2277 0.7723 0.7500  1 Ho 3.19, 4 Nd 3.31-3.55
Ho4 0.3538 0.1275 0.2315  2 Tb 3.46-3.59, 3 Nd 3.46-3.63, 3 Ho 3.48-3.70
Ho5 0.4742 0.5258 0.2500  5 Nd 3.33-3.45, 2 Tb 3.41, 2 Ho 3.48
Ho6 0.5258 0.4742 0.7500  5 Nd 3.33-3.45, 2 Tb 3.41, 2 Ho 3.48
Ho7 0.6462 0.8725 0.7685  2 Tb 3.46-3.59, 3 Nd 3.46-3.63, 3 Ho 3.48-3.70
Ho8 0.7723 0.2277 0.2500  1 Ho 3.19, 4 Nd 3.31-3.55
Ho9 0.8725 0.6462 0.2685  2 Tb 3.46-3.59, 3 Nd 3.46-3.63, 3 Ho 3.48-3.70
Ho10 0.9709 0.0291 0.2500  3 Ho 3.19-3.52, 4 Tb 3.29-3.44, 2 Nd 3.48


[5]
BaScTl3: optimized geometry, PBE.

Summary:
E_form = -10.5 kJ/mol of atoms
polymorph energy (0 for the lowest one) = 0.00 kcal/mol of atoms
space-group type = Pm-3m
crystal system = cubic

Cell lengths 5.6504, 5.6504, 5.6504 Å; angles 90.00, 90.00, 90.00 degrees
Closest atoms and distances in Å follow each position.
Fractional coordinates of all 5 atoms:
Ba1 0.0000 0.0000 0.0000  12 Tl 4.00
Sc1 0.5000 0.5000 0.5000  6 Tl 2.83
Tl1 0.0000 0.5000 0.5000  2 Sc 2.83
Tl2 0.5000 0.0000 0.5000  2 Sc 2.83
Tl3 0.5000 0.5000 0.0000  2 Sc 2.83


[6]
Sr2ScGe2: optimized geometry, PBE.

Summary:
E_form = -50.0 kJ/mol of atoms
space-group type = P4/mbm
crystal system = tetragonal

Cell lengths 7.5355, 7.5355, 4.9042 Å; angles 90.00, 90.00, 90.00 degrees
Closest atoms and distances in Å follow each position.
Fractional coordinates of all 10 atoms:
Sr1 0.1707 0.3293 0.0000  6 Ge 3.27-3.34, 1 Sr 3.64
Sr2 0.3293 0.8293 0.0000  6 Ge 3.27-3.34, 1 Sr 3.64
Sr3 0.6707 0.1707 0.0000  6 Ge 3.27-3.34, 1 Sr 3.64
Sr4 0.8293 0.6707 0.0000  6 Ge 3.27-3.34, 1 Sr 3.64
Sc1 0.0000 0.0000 0.5000  4 Ge 2.97
Sc2 0.5000 0.5000 0.5000  4 Ge 2.97
Ge1 0.1268 0.6268 0.5000  1 Ge 2.70, 2 Sc 2.97
Ge2 0.3732 0.1268 0.5000  1 Ge 2.70, 2 Sc 2.97
Ge3 0.6268 0.8732 0.5000  1 Ge 2.70, 2 Sc 2.97
Ge4 0.8732 0.3732 0.5000  1 Ge 2.70, 2 Sc 2.97


Spin magnetization readings, ordered: 0.0, 0.9, 0.0, 0.0, 0.0, 1.0 μB/f.u.